[1]
A crystal of Re2PdPtC relaxed with PBEsol. Source: the Alexandria database, functional meta-GGA SCAN.

abc: 4.688 4.688 4.824
angles: 90.00 90.00 90.00
Fractional coordinates of all 5 atoms:
Re: 0.000 0.500 0.000
Re: 0.500 0.000 0.000
Pd: 0.000 0.000 0.500
Pt: 0.000 0.000 0.000
C: 0.500 0.500 0.500

Results
Its formation energy is 3.315 eV/atom. The final energy is -238.69 eV for the cell shown. The value obtained for the density is 10.75 g cm⁻³. Its symmetry is P4/mmm, No. 123.

***

[2]
A crystal of BaTe3 relaxed with PBEsol. Source: the Alexandria database, functional meta-GGA SCAN.

abc: 4.095 4.095 8.000
angles: 90.00 90.00 102.82
Fractional coordinates of all 4 atoms:
Ba: 0.000 0.000 0.000
Te: 0.000 0.000 0.500
Te: 0.500 0.500 0.269
Te: 0.500 0.500 0.731

Results
Its raw formation energy is -0.55 eV per atom. The final energy is -153.51 eV for the cell shown. The value obtained for the density is 6.60 g cm⁻³. Its symmetry is Cmmm, No. 65.

***

[3]
A crystal of Zr2AlBr relaxed with PBEsol. Source: the Alexandria database, functional meta-GGA SCAN.

abc: 4.862 4.862 4.862
angles: 60.00 60.00 60.00
Fractional coordinates of all 4 atoms:
Zr: 0.000 0.000 0.000
Zr: 0.250 0.250 0.250
Al: 0.500 0.500 0.500
Br: 0.750 0.750 0.750

Results
Its raw formation energy is 0.36 eV per atom. The final energy is -87.19 eV for the cell shown. The value obtained for the density is 5.91 g cm⁻³. Its symmetry is F-43m, No. 216.

***

[4]
A crystal of CdHg2Ir relaxed with PBEsol. Source: the Alexandria database, functional meta-GGA SCAN.

abc: 5.265 5.265 5.265
angles: 134.74 134.60 66.04
Fractional coordinates of all 4 atoms:
Cd: 0.000 0.000 0.000
Hg: 0.250 0.750 0.500
Hg: 0.500 0.500 0.000
Ir: 0.750 0.250 0.500

Results
Its formation energy is 0.341 eV/atom. The final energy is -236.48 eV for the cell shown. The value obtained for the density is 16.13 g cm⁻³. Its symmetry is Imm2, No. 44.

***

[5]
A crystal of Ca2CuPt relaxed with PBEsol. Source: the Alexandria database, functional meta-GGA SCAN.

abc: 5.503 5.503 5.503
angles: 135.63 135.63 64.55
Fractional coordinates of all 4 atoms:
Ca: 0.000 0.000 0.000
Ca: 0.750 0.250 0.500
Cu: 0.500 0.500 0.000
Pt: 0.250 0.750 0.500

Results
Its formation energy is -0.402 eV/atom. The final energy is -106.33 eV for the cell shown. The value obtained for the density is 7.00 g cm⁻³. Its symmetry is I-4m2, No. 119.

***

[6]
A crystal of SrTaSb relaxed with PBEsol. Source: the Alexandria database, functional meta-GGA SCAN.

abc: 4.915 4.915 4.915
angles: 60.00 60.00 60.00
Fractional coordinates of all 3 atoms:
Sr: 0.000 0.000 0.000
Ta: 0.500 0.500 0.500
Sb: 0.250 0.250 0.250

Results
Its raw formation energy is 0.57 eV per atom. The final energy is -124.42 eV for the cell shown. The value obtained for the density is 7.72 g cm⁻³. Its symmetry is F-43m, No. 216.

***

[7]
A crystal of LiBe2FeAu relaxed with PBEsol. Source: the Alexandria database, functional meta-GGA SCAN.

abc: 4.317 4.317 4.835
angles: 90.00 90.00 90.00
Fractional coordinates of all 5 atoms:
Li: 0.000 0.000 0.000
Be: 0.000 0.500 0.500
Be: 0.500 0.000 0.500
Fe: 0.500 0.500 0.000
Au: 0.500 0.500 0.500

Results
Its formation energy is 0.421 eV/atom. The final energy is -96.28 eV for the cell shown. The value obtained for the density is 5.12 g cm⁻³. Its symmetry is P4/mmm, No. 123.

***

[8]
A crystal of AlCdNi2 relaxed with PBEsol. Source: the Alexandria database, functional meta-GGA SCAN.

abc: 4.189 4.189 3.005
angles: 90.00 90.00 90.00
Fractional coordinates of all 4 atoms:
Al: 0.000 0.000 0.000
Cd: 0.500 0.500 0.000
Ni: 0.000 0.500 0.500
Ni: 0.500 0.000 0.500

Results
Its formation energy is -0.233 eV/atom. The final energy is -71.44 eV for the cell shown. The value obtained for the density is 8.08 g cm⁻³. Its symmetry is P4/mmm, No. 123.

***

[9]
A crystal of Mg2BeAs relaxed with PBEsol. Source: the Alexandria database, functional meta-GGA SCAN.

abc: 3.241 3.241 6.813
angles: 90.00 90.00 90.00
Fractional coordinates of all 4 atoms:
Mg: 0.000 0.000 0.000
Mg: 0.500 0.500 0.327
Be: 0.500 0.500 0.723
As: 0.000 0.000 0.604

Results
Its formation energy is 0.121 eV/atom. The final energy is -34.01 eV for the cell shown. The value obtained for the density is 3.08 g cm⁻³. Its symmetry is P4mm, No. 99.

***

[10]
A crystal of Sc2SbSe relaxed with PBEsol. Source: the Alexandria database, functional meta-GGA SCAN.

abc: 6.914 6.914 6.914
angles: 33.12 33.12 33.12
Fractional coordinates of all 4 atoms:
Sc: 0.244 0.244 0.244
Sc: 0.756 0.756 0.756
Sb: 0.000 0.000 0.000
Se: 0.500 0.500 0.500

Results
Its raw formation energy is -1.39 eV per atom. The final energy is -91.39 eV for the cell shown. The value obtained for the density is 5.49 g cm⁻³. Its symmetry is R-3m, No. 166.

***

[11]
A crystal of NdAl8Co2 relaxed with PBEsol. Source: the Alexandria database, functional meta-GGA SCAN.

abc: 12.491 14.393 4.003
angles: 90.00 90.00 90.00
Fractional coordinates of all 44 atoms:
Nd: 0.160 0.181 0.000
Nd: 0.340 0.681 0.000
Nd: 0.660 0.319 0.000
Nd: 0.840 0.819 0.000
Al: 0.000 0.000 0.000
Al: 0.000 0.500 0.500
Al: 0.026 0.868 0.500
Al: 0.047 0.320 0.500
Al: 0.096 0.747 0.000
Al: 0.159 0.621 0.500
Al: 0.160 0.456 0.000
Al: 0.169 0.008 0.500
Al: 0.236 0.827 0.500
Al: 0.264 0.327 0.500
Al: 0.331 0.508 0.500
Al: 0.340 0.956 0.000
Al: 0.341 0.121 0.500
Al: 0.404 0.247 0.000
Al: 0.453 0.820 0.500
Al: 0.474 0.368 0.500
Al: 0.500 0.000 0.500
Al: 0.500 0.500 0.000
Al: 0.526 0.632 0.500
Al: 0.547 0.180 0.500
Al: 0.596 0.753 0.000
Al: 0.659 0.879 0.500
Al: 0.660 0.044 0.000
Al: 0.669 0.492 0.500
Al: 0.736 0.673 0.500
Al: 0.764 0.173 0.500
Al: 0.831 0.992 0.500
Al: 0.840 0.544 0.000
Al: 0.841 0.379 0.500
Al: 0.904 0.253 0.000
Al: 0.953 0.680 0.500
Al: 0.974 0.132 0.500
Co: 0.034 0.594 0.000
Co: 0.152 0.904 0.000
Co: 0.348 0.404 0.000
Co: 0.466 0.094 0.000
Co: 0.534 0.906 0.000
Co: 0.652 0.596 0.000
Co: 0.848 0.096 0.000
Co: 0.966 0.406 0.000

Results
Its formation energy is -0.469 eV/atom. The final energy is -581.48 eV for the cell shown. The value obtained for the density is 4.41 g cm⁻³. Its symmetry is Pbam, No. 55.

***

[12]
A crystal of BeFeHg2 relaxed with PBEsol. Source: the Alexandria database, functional meta-GGA SCAN.

abc: 8.459 8.459 8.459
angles: 20.17 20.17 20.17
Fractional coordinates of all 4 atoms:
Be: 0.000 0.000 0.000
Fe: 0.500 0.500 0.500
Hg: 0.255 0.255 0.255
Hg: 0.745 0.745 0.745

Results
Its formation energy is 0.466 eV/atom. The final energy is -156.95 eV for the cell shown. The value obtained for the density is 12.29 g cm⁻³. Its symmetry is R-3m, No. 166.

***

[13]
A crystal of Ba2AgHg relaxed with PBEsol. Source: the Alexandria database, functional meta-GGA SCAN.

abc: 4.051 5.736 5.736
angles: 90.00 90.00 90.00
Fractional coordinates of all 4 atoms:
Ba: 0.000 0.000 0.000
Ba: 0.000 0.500 0.499
Ag: 0.500 0.500 0.997
Hg: 0.500 0.000 0.501

Results
Its formation energy is -0.445 eV/atom. The final energy is -180.41 eV for the cell shown. The value obtained for the density is 7.27 g cm⁻³. Its symmetry is Pmm2, No. 25.